Al2CuW (PBEsol, relaxed); formation enthalpy at 0 K = -0.0702 eV/atom
1.0
2.790 -3.712 0.000
2.790 3.712 0.000
0.000 0.000 2.754
Al Cu W
2 1 1
Direct
0.000 0.500 0.000
0.500 0.000 0.000
0.000 0.000 0.500
0.500 0.500 0.500